Here is a geometry-optimized CaMn4Si structure from Alexandria. Energies are from PBE.

Cell and atoms, written as CIF:
```
data_CaMn4Si
_symmetry_space_group_name_H-M 'F -4 3 m'
_symmetry_Int_Tables_number 216
_symmetry_space_group_name_Hall 'F -4 2 3'
_cell_length_a 6.842
_cell_length_b 6.842
_cell_length_c 6.842
_cell_angle_alpha 90.00
_cell_angle_beta 90.00
_cell_angle_gamma 90.00
loop_
_atom_site_label
_atom_site_fract_x
_atom_site_fract_y
_atom_site_fract_z
_atom_site_occupancy
Ca1 0.000 0.000 0.000 1
Mn1 0.123 0.123 0.377 1
Si1 0.250 0.250 0.750 1
```

Results
Formation energy without anion corrections   348.1 meV/atom
Electronic total energy   -7.002 eV per atom
Size of the total moment   0.0 μB/f.u.